Below is a geometry-optimized CaFeOs2 structure, with properties calculated at the PBE-GGA level.

Its density of states at the Fermi level is 3.07 states/eV/f.u. Its magnetization is 0.625 μB per atom. The space group is Cmmm, No. 65. The energy is -7.530 eV/atom. Its formation energy from the elements is 0.70 eV/atom. The value obtained for the volume is 15.94 A^3/atom.

Unit cell a=5.1762 b=5.1762 c=2.5663 alpha=90.00 beta=90.00 gamma=111.99
Element x y z (fractional)
1 Os 0.5000 0.5000 0.0000
2 Os 0.0000 0.0000 0.0000
3 Fe 0.0000 0.5000 0.5000
4 Ca 0.5000 0.0000 0.5000